[1]
Here is an optimized crystal structure of MgCu2Se from Alexandria. Energies are from PBE-GGA.

a b c (Å): 5.976 5.976 8.064
angles (deg): 90.00 90.00 149.52
Fractional coordinates of all 8 atoms:
1 Mg 0.863 0.137 0.750
2 Mg 0.137 0.863 0.250
3 Cu 0.805 0.195 0.410
4 Cu 0.195 0.805 0.910
5 Cu 0.805 0.195 0.090
6 Cu 0.195 0.805 0.590
7 Se 0.441 0.559 0.250
8 Se 0.559 0.441 0.750

Space-group type: Cmcm (63)
Formation energy (no corrections), meV/atom: -68
D(E_F), states/eV/f.u.: 1.1
Distance to the lowest polymorph of the same formula, meV per atom: 133
Total magnetization, Bohr magnetons per cell: 0.0



[2]
Here is an optimized crystal structure of MgCuSe2 from Alexandria. Energies are from PBE-GGA.

a b c (Å): 3.642 7.047 3.551
angles (deg): 90.00 90.00 90.00
Fractional coordinates of all 4 atoms:
1 Cu 0.500 0.000 0.500
2 Mg 0.000 0.500 0.500
3 Se 0.000 0.000 0.000
4 Se 0.500 0.500 0.000

Space-group type: Pmmm (47)
Formation energy (no corrections), meV/atom: -335
D(E_F), states/eV/f.u.: 2.1
Total magnetization, Bohr magnetons per cell: 0.0



[3]
Here is an optimized crystal structure of MgCuSe from Alexandria. Energies are from PBE-GGA.

a b c (Å): 4.363 4.363 4.363
angles (deg): 60.00 60.00 60.00
Fractional coordinates of all 3 atoms:
1 Cu 0.750 0.750 0.750
2 Mg 0.000 0.000 0.000
3 Se 0.500 0.500 0.500

Space-group type: F-43m (216)
Formation energy (no corrections), meV/atom: -207
D(E_F), states/eV/f.u.: 2.3
Distance to the lowest polymorph of the same formula, meV per atom: 309
Total magnetization, Bohr magnetons per cell: 0.0



[4]
Here is an optimized crystal structure of MgCuSe2 from Alexandria. Energies are from PBE-GGA.

a b c (Å): 4.193 4.193 10.765
angles (deg): 90.00 90.00 120.00
Fractional coordinates of all 8 atoms:
1 Mg 0.333 0.667 0.250
2 Mg 0.667 0.333 0.750
3 Cu 0.000 0.000 0.250
4 Cu 0.000 0.000 0.750
5 Se 0.333 0.667 0.606
6 Se 0.667 0.333 0.106
7 Se 0.667 0.333 0.394
8 Se 0.333 0.667 0.894

Space-group type: P6_3/mmc (194)
Formation energy (no corrections), meV/atom: -68
D(E_F), states/eV/f.u.: 3.5
Total magnetization, Bohr magnetons per cell: 0.0



[5]
Here is an optimized crystal structure of MgCuSe from Alexandria. Energies are from PBE-GGA.

a b c (Å): 4.290 4.290 7.027
angles (deg): 90.00 90.00 120.00
Fractional coordinates of all 6 atoms:
1 Mg 0.333 0.667 0.250
2 Mg 0.667 0.333 0.750
3 Cu 0.333 0.667 0.750
4 Cu 0.667 0.333 0.250
5 Se 0.000 0.000 0.000
6 Se 0.000 0.000 0.500

Space-group type: P6_3/mmc (194)
Formation energy (no corrections), meV/atom: 2
D(E_F), states/eV/f.u.: 0.9
Distance to the lowest polymorph of the same formula, meV per atom: 518
Total magnetization, Bohr magnetons per cell: 0.0



[6]
Here is an optimized crystal structure of MgCuSe from Alexandria. Energies are from PBE-GGA.

a b c (Å): 3.538 5.911 11.116
angles (deg): 90.00 90.00 90.00
Fractional coordinates of all 12 atoms:
1 Mg 0.500 0.761 0.409
2 Mg 0.500 0.261 0.591
3 Mg 0.500 0.388 0.065
4 Mg 0.500 0.888 0.935
5 Cu 0.500 0.964 0.163
6 Cu 0.500 0.464 0.837
7 Cu 0.500 0.316 0.298
8 Cu 0.500 0.816 0.702
9 Se 0.000 0.615 0.588
10 Se 0.000 0.115 0.412
11 Se 0.000 0.130 0.786
12 Se 0.000 0.630 0.214

Space-group type: Pmc2_1 (26)
Formation energy (no corrections), meV/atom: -250
D(E_F), states/eV/f.u.: 0.8
Distance to the lowest polymorph of the same formula, meV per atom: 266
Total magnetization, Bohr magnetons per cell: 0.0



[7]
Here is an optimized crystal structure of Mg3CuSe2 from Alexandria. Energies are from PBE-GGA.

a b c (Å): 3.917 3.918 18.692
angles (deg): 90.00 90.00 120.00
Fractional coordinates of all 12 atoms:
1 Mg 0.666 0.333 0.169
2 Mg 0.334 0.667 0.669
3 Mg 0.334 0.667 0.831
4 Mg 0.666 0.333 0.331
5 Mg 0.000 0.000 0.000
6 Mg 0.000 0.000 0.500
7 Cu 0.000 0.999 0.250
8 Cu 0.000 0.001 0.750
9 Se 0.667 0.334 0.585
10 Se 0.333 0.666 0.085
11 Se 0.333 0.666 0.415
12 Se 0.667 0.334 0.915

Space-group type: P6_3/mmc (194)
Formation energy (no corrections), meV/atom: -656
D(E_F), states/eV/f.u.: 0.6
Distance to the lowest polymorph of the same formula, meV per atom: 0
Total magnetization, Bohr magnetons per cell: 0.0



[8]
Here is an optimized crystal structure of Mg2Cu4Se3 from Alexandria. Energies are from PBE-GGA.

a b c (Å): 7.101 7.101 6.848
angles (deg): 62.88 62.88 32.47
Fractional coordinates of all 9 atoms:
1 Mg 0.406 0.406 0.884
2 Mg 0.594 0.594 0.116
3 Cu 0.188 0.188 0.640
4 Cu 0.812 0.812 0.360
5 Cu 0.593 0.593 0.490
6 Cu 0.407 0.407 0.510
7 Se 0.216 0.216 0.258
8 Se 0.784 0.784 0.742
9 Se 0.000 0.000 0.000

Space-group type: C2/m (12)
Formation energy (no corrections), meV/atom: -295
D(E_F), states/eV/f.u.: 0.2
Total magnetization, Bohr magnetons per cell: 0.0



[9]
Here is an optimized crystal structure of Mg2CuSe4 from Alexandria. Energies are from PBE-GGA.

a b c (Å): 6.011 6.011 6.011
angles (deg): 113.42 113.42 101.84
Fractional coordinates of all 7 atoms:
1 Mg 0.750 0.250 0.500
2 Mg 0.250 0.750 0.500
3 Cu 0.000 0.000 0.000
4 Se 0.305 0.802 0.107
5 Se 0.695 0.198 0.893
6 Se 0.198 0.305 0.503
7 Se 0.802 0.695 0.497

Space-group type: I4/m (87)
Formation energy (no corrections), meV/atom: -557
D(E_F), states/eV/f.u.: 3.1
Distance to the lowest polymorph of the same formula, meV per atom: 0
Total magnetization, Bohr magnetons per cell: 0.0



[10]
Here is an optimized crystal structure of Mg2CuSe4 from Alexandria. Energies are from PBE-GGA.

a b c (Å): 7.711 7.711 7.711
angles (deg): 122.19 122.19 86.25
Fractional coordinates of all 14 atoms:
1 Mg 0.633 0.133 0.766
2 Mg 0.367 0.867 0.234
3 Mg 0.867 0.633 0.500
4 Mg 0.133 0.367 0.500
5 Cu 0.750 0.750 0.000
6 Cu 0.250 0.250 0.000
7 Se 0.042 0.542 0.865
8 Se 0.677 0.177 0.135
9 Se 0.177 0.042 0.500
10 Se 0.542 0.677 0.500
11 Se 0.458 0.323 0.500
12 Se 0.823 0.958 0.500
13 Se 0.323 0.823 0.865
14 Se 0.958 0.458 0.135

Space-group type: I4/mcm (140)
Formation energy (no corrections), meV/atom: -273
D(E_F), states/eV/f.u.: 3.9
Distance to the lowest polymorph of the same formula, meV per atom: 284
Total magnetization, Bohr magnetons per cell: 0.0



[11]
Here is an optimized crystal structure of MgCuSe2 from Alexandria. Energies are from PBE-GGA.

a b c (Å): 4.165 4.165 10.254
angles (deg): 90.00 90.00 90.00
Fractional coordinates of all 8 atoms:
1 Mg 0.500 0.000 0.874
2 Mg 0.000 0.500 0.126
3 Cu 0.500 0.000 0.372
4 Cu 0.000 0.500 0.628
5 Se 0.500 0.000 0.137
6 Se 0.000 0.500 0.863
7 Se 0.000 0.000 0.500
8 Se 0.500 0.500 0.500

Space-group type: P4/nmm (129)
Formation energy (no corrections), meV/atom: -413
D(E_F), states/eV/f.u.: 1.0
Total magnetization, Bohr magnetons per cell: 0.0



[12]
Here is an optimized crystal structure of MgCuSe from Alexandria. Energies are from PBE-GGA.

a b c (Å): 3.744 3.744 7.775
angles (deg): 90.00 90.00 90.00
Fractional coordinates of all 6 atoms:
1 Mg 0.000 0.500 0.805
2 Mg 0.500 0.000 0.195
3 Cu 0.000 0.000 0.500
4 Cu 0.500 0.500 0.500
5 Se 0.000 0.500 0.170
6 Se 0.500 0.000 0.830

Space-group type: P4/nmm (129)
Formation energy (no corrections), meV/atom: -383
D(E_F), states/eV/f.u.: 1.2
Distance to the lowest polymorph of the same formula, meV per atom: 133
Total magnetization, Bohr magnetons per cell: 0.0



[13]
Here is an optimized crystal structure of Mg4CuSe from Alexandria. Energies are from PBE-GGA.

a b c (Å): 3.867 6.369 10.571
angles (deg): 90.00 90.00 90.00
Fractional coordinates of all 12 atoms:
1 Mg 0.500 0.338 0.101
2 Mg 0.500 0.338 0.399
3 Mg 0.500 0.662 0.899
4 Mg 0.500 0.662 0.601
5 Mg 0.500 0.866 0.250
6 Mg 0.500 0.134 0.750
7 Mg 0.000 0.000 0.000
8 Mg 0.000 0.000 0.500
9 Cu 0.000 0.149 0.250
10 Cu 0.000 0.851 0.750
11 Se 0.000 0.549 0.250
12 Se 0.000 0.451 0.750

Space-group type: Pmma (51)
Formation energy (no corrections), meV/atom: -201
D(E_F), states/eV/f.u.: 1.6
Distance to the lowest polymorph of the same formula, meV per atom: 0
Total magnetization, Bohr magnetons per cell: 0.0



[14]
Here is an optimized crystal structure of MgCuSe from Alexandria. Energies are from PBE-GGA.

a b c (Å): 5.581 7.841 5.351
angles (deg): 70.05 90.00 90.00
Fractional coordinates of all 12 atoms:
1 Mg 0.000 0.680 0.660
2 Mg 0.500 0.320 0.840
3 Mg 0.000 0.320 0.340
4 Mg 0.500 0.680 0.160
5 Cu 0.000 0.000 0.264
6 Cu 0.500 0.000 0.236
7 Cu 0.000 0.000 0.736
8 Cu 0.500 0.000 0.764
9 Se 0.000 0.695 0.152
10 Se 0.500 0.305 0.348
11 Se 0.000 0.305 0.848
12 Se 0.500 0.695 0.652

Space-group type: Fmmm (69)
Formation energy (no corrections), meV/atom: -489
D(E_F), states/eV/f.u.: 0.0
Distance to the lowest polymorph of the same formula, meV per atom: 26
Total magnetization, Bohr magnetons per cell: 0.0



[15]
Here is an optimized crystal structure of MgCu3Se2 from Alexandria. Energies are from PBE-GGA.

a b c (Å): 5.316 5.316 7.236
angles (deg): 90.00 90.00 90.68
Fractional coordinates of all 12 atoms:
1 Mg 0.412 0.412 0.750
2 Mg 0.588 0.588 0.250
3 Cu 0.038 0.038 0.750
4 Cu 0.962 0.962 0.250
5 Cu 0.918 0.557 0.750
6 Cu 0.082 0.443 0.250
7 Cu 0.557 0.918 0.750
8 Cu 0.443 0.082 0.250
9 Se 0.761 0.239 0.000
10 Se 0.239 0.761 0.500
11 Se 0.239 0.761 0.000
12 Se 0.761 0.239 0.500

Space-group type: Cmcm (63)
Formation energy (no corrections), meV/atom: -106
D(E_F), states/eV/f.u.: 1.9
Distance to the lowest polymorph of the same formula, meV per atom: 44
Total magnetization, Bohr magnetons per cell: 0.0



[16]
Here is an optimized crystal structure of Mg2Cu2Se from Alexandria. Energies are from PBE-GGA.

a b c (Å): 3.768 3.768 7.875
angles (deg): 90.00 90.00 120.00
Fractional coordinates of all 5 atoms:
1 Mg 0.333 0.667 0.205
2 Mg 0.667 0.333 0.795
3 Cu 0.333 0.667 0.561
4 Cu 0.667 0.333 0.439
5 Se 0.000 0.000 0.000

Space-group type: P-3m1 (164)
Formation energy (no corrections), meV/atom: -238
D(E_F), states/eV/f.u.: 1.7
Distance to the lowest polymorph of the same formula, meV per atom: 96
Total magnetization, Bohr magnetons per cell: 0.0



[17]
Here is an optimized crystal structure of MgCuSe4 from Alexandria. Energies are from PBE-GGA.

a b c (Å): 3.792 8.865 7.726
angles (deg): 90.00 90.00 90.00
Fractional coordinates of all 12 atoms:
1 Mg 0.000 0.246 0.250
2 Mg 0.000 0.754 0.750
3 Cu 0.000 0.638 0.250
4 Cu 0.000 0.362 0.750
5 Se 0.500 0.364 0.977
6 Se 0.500 0.364 0.523
7 Se 0.500 0.636 0.023
8 Se 0.500 0.636 0.477
9 Se 0.500 0.995 0.250
10 Se 0.500 0.005 0.750
11 Se 0.000 0.000 0.000
12 Se 0.000 0.000 0.500

Space-group type: Pmma (51)
Formation energy (no corrections), meV/atom: -159
D(E_F), states/eV/f.u.: 1.4
Distance to the lowest polymorph of the same formula, meV per atom: 0
Total magnetization, Bohr magnetons per cell: 0.0



[18]
Here is an optimized crystal structure of Mg2Cu2Se from Alexandria. Energies are from PBE-GGA.

a b c (Å): 6.111 6.111 6.302
angles (deg): 78.42 78.42 50.41
Fractional coordinates of all 10 atoms:
1 Mg 0.249 0.051 0.859
2 Mg 0.949 0.751 0.641
3 Mg 0.751 0.949 0.141
4 Mg 0.051 0.249 0.359
5 Cu 0.233 0.443 0.992
6 Cu 0.557 0.767 0.508
7 Cu 0.767 0.557 0.008
8 Cu 0.443 0.233 0.492
9 Se 0.324 0.676 0.250
10 Se 0.676 0.324 0.750

Space-group type: C2/c (15)
Formation energy (no corrections), meV/atom: -205
D(E_F), states/eV/f.u.: 1.4
Distance to the lowest polymorph of the same formula, meV per atom: 128
Total magnetization, Bohr magnetons per cell: 0.0



[19]
Here is an optimized crystal structure of MgCuSe from Alexandria. Energies are from PBE-GGA.

a b c (Å): 4.328 4.764 12.934
angles (deg): 90.00 90.00 90.00
Fractional coordinates of all 12 atoms:
1 Mg 0.025 0.750 0.377
2 Mg 0.975 0.250 0.623
3 Mg 0.975 0.250 0.877
4 Mg 0.025 0.750 0.123
5 Cu 0.725 0.750 0.842
6 Cu 0.275 0.250 0.158
7 Cu 0.275 0.250 0.342
8 Cu 0.725 0.750 0.658
9 Se 0.237 0.750 0.576
10 Se 0.763 0.250 0.424
11 Se 0.763 0.250 0.076
12 Se 0.237 0.750 0.924

Space-group type: Pmmn (59)
Formation energy (no corrections), meV/atom: -241
D(E_F), states/eV/f.u.: 1.0
Distance to the lowest polymorph of the same formula, meV per atom: 275
Total magnetization, Bohr magnetons per cell: 0.0



[20]
Here is an optimized crystal structure of Mg8CuSe4 from Alexandria. Energies are from PBE-GGA.

a b c (Å): 7.285 7.285 7.285
angles (deg): 105.38 105.38 118.00
Fractional coordinates of all 13 atoms:
1 Mg 0.295 0.000 0.295
2 Mg 0.705 0.000 0.705
3 Mg 0.000 0.705 0.705
4 Mg 0.000 0.295 0.295
5 Mg 0.268 0.500 0.768
6 Mg 0.732 0.500 0.232
7 Mg 0.500 0.732 0.232
8 Mg 0.500 0.268 0.768
9 Cu 0.000 0.000 0.000
10 Se 0.500 0.000 0.000
11 Se 0.000 0.500 0.000
12 Se 0.000 0.000 0.500
13 Se 0.500 0.500 0.500

Space-group type: I4/mmm (139)
Formation energy (no corrections), meV/atom: -364
D(E_F), states/eV/f.u.: 2.3
Distance to the lowest polymorph of the same formula, meV per atom: 0
Total magnetization, Bohr magnetons per cell: 0.0



The records above give, respectively, raw total energy values of -3.39, -3.50, -3.27, -3.23, -3.06, -3.31, -3.30, -3.63, -3.59, -3.31, -3.58, -3.44, -2.53, -3.55, -3.58, -3.21, -3.43, -3.18, -3.30, -2.73 eV/atom.